Record 1
Here is an optimized crystal structure of RbGdCoSe3 from OQMD. Energies are from PBE.

Excess energy over the best structure of this formula in the dataset (eV per atom): 0.076
Size of the total moment (μB per cell): 11.1
Energy (eV/cell): -118.8

Cell: 11.458 4.279 12.861 Å, 90.00 90.00 90.00°
Space group Pnma (No. 62)
Symmetry-distinct sites (fractional):
Rb 0.177 0.250 0.005
Gd 0.017 0.250 0.681
Co 0.243 0.250 0.294
Se 0.053 0.750 0.831
Se 0.101 0.250 0.434
Se 0.219 0.750 0.207



Record 2
Here is an optimized crystal structure of SmErGa2I2 from OQMD. Energies are from PBE.

Size of the total moment (μB per cell): 0.0
Energy (eV/cell): -24.6

Cell: 4.2152 4.2152 12.2193 Å, 90.00 90.00 120.00°
Space group P3m1 (No. 156)
Symmetry-distinct sites (fractional):
Sm 0.0000 0.0000 0.0000
Er 0.0000 0.0000 0.6687
Ga 0.3333 0.6667 0.8598
Ga 0.6667 0.3333 0.8044
I 0.3333 0.6667 0.5067
I 0.6667 0.3333 0.1669



Record 3
Here is an optimized crystal structure of Lu2Mg2O5 from OQMD. Energies are from PBE.

Size of the total moment (μB per cell): 0.0
Energy (eV/cell): -61.8

Cell: 3.789 3.789 7.025 Å, 90.00 90.00 90.00°
Space group P4/mmm (No. 123)
Symmetry-distinct sites (fractional):
Lu 0.000 0.000 0.000
Lu 0.000 0.000 0.500
Mg 0.500 0.500 0.235
O 0.000 0.500 0.196
O 0.500 0.500 0.500



Record 4
Here is an optimized crystal structure of PmAlIn from OQMD. Energies are from PBE.

Excess energy over the best structure of this formula in the dataset (eV per atom): 0.000
Size of the total moment (μB per cell): 0.0
Energy (eV/cell): -47.9

Cell: 6.821 6.821 6.821 Å, 90.00 90.00 90.00°
Space group F-43m (No. 216)
Symmetry-distinct sites (fractional):
Pm 0.000 0.000 0.000
Al 0.250 0.250 0.750
In 0.000 0.000 0.500



Record 5
Here is an optimized crystal structure of ZnCdSO from OQMD. Energies are from PBE.

Excess energy over the best structure of this formula in the dataset (eV per atom): 0.004
Energy (eV/cell): -59.9

Cell: 3.656 12.951 5.704 Å, 90.00 90.00 90.00°
Space group Cmc2_1 (No. 36)
Symmetry-distinct sites (fractional):
Zn 0.000 0.064 0.000
Cd 0.000 0.335 0.938
S 0.000 0.329 0.392
O 0.000 0.069 0.347



Record 6
Here is an optimized crystal structure of GdDyPd2 from OQMD. Energies are from PBE.

Formation energy (eV/atom): -0.9150
Size of the total moment (μB per cell): 0.0
Energy (eV/cell): -46.5

Cell: 4.549 5.598 7.033 Å, 90.00 90.00 90.00°
Space group Pmc2_1 (No. 26)
Symmetry-distinct sites (fractional):
Gd 0.000 0.107 0.000
Dy 0.500 0.393 0.364
Pd 0.000 0.405 0.639
Pd 0.500 0.098 0.725